## SiBPPb2 (PBE)

Data for SiBPPb2 after structural relaxation.

Cell and atoms, written as POSCAR:
```
SiBPPb2
1.0
5.8508 0.0000 0.0000
0.0000 5.8508 0.0000
0.0000 0.0000 3.4643
Si B P Pb
1 1 1 2
direct
0.0000 0.0000 0.0000
0.5000 0.5000 0.0000
0.5000 0.5000 0.5000
0.0000 0.5000 0.5000
0.5000 0.0000 0.5000
```

Calculated values
ρ = 6.8 g/cm³
ΔE_f (raw) = 4.0 eV/f.u.



## B2PPd (PBE)

Data for B2PPd after structural relaxation.

Cell and atoms, written as POSCAR:
```
B2PPd
1.0
-2.4090 2.4090 4.3916
2.4090 -2.4090 4.3916
2.4090 2.4090 -4.3916
B P Pd
4 2 2
direct
0.0930 0.6250 0.9680
0.3750 0.3430 0.4680
0.6570 0.1250 0.0320
0.8750 0.9070 0.5320
0.0000 0.0000 0.0000
0.7500 0.2500 0.5000
0.2500 0.7500 0.5000
0.5000 0.5000 0.0000
```

Calculated values
total energy = -5.7938 eV/atom
ρ = 5.2 g/cm³



## BP3Pd (PBE)

Data for BP3Pd after structural relaxation.

Cell and atoms, written as POSCAR:
```
BP3Pd
1.0
4.6771 0.0000 0.0000
0.0000 4.6771 0.0000
0.0000 0.0000 4.6771
B P Pd
1 3 1
direct
0.0000 0.0000 0.0000
0.0000 0.5000 0.5000
0.5000 0.0000 0.5000
0.5000 0.5000 0.0000
0.5000 0.5000 0.5000
```

Calculated values
E above lowest polymorph = 1049.6 meV per atom
ρ = 3.4 g/cm³



## B2PPd6 (PBE)

Data for B2PPd6 after structural relaxation.

Cell and atoms, written as POSCAR:
```
B2PPd6
1.0
5.3959 -2.0206 0.0000
5.3959 2.0206 0.0000
-4.1473 0.0000 6.1052
B P Pd
2 1 6
direct
0.1760 0.1760 0.1005
0.8240 0.8240 0.8995
0.0000 0.0000 0.5000
0.0319 0.0319 0.2073
0.2506 0.2506 0.8705
0.3507 0.3507 0.4466
0.6493 0.6493 0.5534
0.7494 0.7494 0.1295
0.9681 0.9681 0.7927
```

Calculated values
total energy = -5.7588 eV/atom
ρ = 8.6 g/cm³



## BP3Pd (PBE)

Data for BP3Pd after structural relaxation.

Cell and atoms, written as POSCAR:
```
BP3Pd
1.0
4.0838 0.0000 0.0000
0.0000 4.0838 0.0000
0.0000 0.0000 4.0838
B P Pd
1 3 1
direct
0.0000 0.0000 0.0000
0.0000 0.0000 0.5000
0.0000 0.5000 0.0000
0.5000 0.0000 0.0000
0.5000 0.5000 0.5000
```

Calculated values
E above lowest polymorph = 0.0 meV per atom
ρ = 5.1 g/cm³



## BPPd6 (PBE)

Data for BPPd6 after structural relaxation.

Cell and atoms, written as POSCAR:
```
BPPd6
1.0
5.2955 0.0000 0.0000
-2.6477 4.5860 0.0000
0.0000 0.0000 9.7534
B P Pd
2 2 12
direct
0.0000 0.0000 0.0000
0.0000 0.0000 0.5000
0.3333 0.6667 0.2500
0.6667 0.3333 0.7500
0.0347 0.3453 0.6208
0.0347 0.6894 0.8792
0.3106 0.3453 0.8792
0.3106 0.9653 0.6208
0.3453 0.0347 0.1208
0.3453 0.3106 0.3792
0.6547 0.6894 0.6208
0.6547 0.9653 0.8792
0.6894 0.0347 0.3792
0.6894 0.6547 0.1208
0.9653 0.3106 0.1208
0.9653 0.6547 0.3792
```

Calculated values
total energy = -5.7275 eV/atom
ρ = 9.5 g/cm³



## B2PPd8 (PBE)

Data for B2PPd8 after structural relaxation.

Cell and atoms, written as POSCAR:
```
B2PPd8
1.0
7.2447 -2.0506 0.0000
7.2447 2.0506 0.0000
-1.4322 0.0000 5.0381
B P Pd
2 1 8
direct
0.1833 0.1833 0.2334
0.8167 0.8167 0.7666
0.5000 0.5000 0.5000
0.0455 0.0455 0.2932
0.1997 0.1997 0.8536
0.3207 0.3207 0.5199
0.4108 0.4108 0.0557
0.5892 0.5892 0.9443
0.6793 0.6793 0.4801
0.8003 0.8003 0.1464
0.9545 0.9545 0.7068
```

Calculated values
total energy = -5.7090 eV/atom
ρ = 10.0 g/cm³



## BPPd6 (PBE)

Data for BPPd6 after structural relaxation.

Cell and atoms, written as POSCAR:
```
BPPd6
1.0
2.6780 1.5462 4.7592
-2.6780 1.5462 4.7592
0.0000 -3.0923 4.7592
B P Pd
1 1 6
direct
0.0000 0.0000 0.0000
0.5000 0.5000 0.5000
0.0453 0.4260 0.7714
0.2286 0.9547 0.5740
0.4260 0.7714 0.0453
0.5740 0.2286 0.9547
0.7714 0.0453 0.4260
0.9547 0.5740 0.2286
```

Calculated values
total energy = -5.7285 eV/atom
ρ = 9.6 g/cm³



## BPPd2Ru (PBE)

Data for BPPd2Ru after structural relaxation.

Cell and atoms, written as POSCAR:
```
BPPd2Ru
1.0
4.1507 0.0000 0.0000
0.0000 4.1507 0.0000
0.0000 0.0000 4.1194
B P Pd Ru
1 1 2 1
direct
0.0000 0.0000 0.0000
0.5000 0.5000 0.5000
0.0000 0.5000 0.0000
0.5000 0.0000 0.0000
0.0000 0.0000 0.5000
```

Calculated values
total energy = -6.0836 eV/atom
ρ = 8.3 g/cm³



## BP2PdRu (PBE)

Data for BP2PdRu after structural relaxation.

Cell and atoms, written as POSCAR:
```
BP2PdRu
1.0
4.0700 0.0000 0.0000
0.0000 4.0700 0.0000
0.0000 0.0000 4.0632
B P Pd Ru
1 2 1 1
direct
0.0000 0.0000 0.0000
0.0000 0.5000 0.0000
0.5000 0.0000 0.0000
0.0000 0.0000 0.5000
0.5000 0.5000 0.5000
```

Calculated values
total energy = -5.6874 eV/atom
ρ = 6.9 g/cm³



## BP2PdS (PBE)

Data for BP2PdS after structural relaxation.

Cell and atoms, written as POSCAR:
```
BP2PdS
1.0
4.0834 0.0000 0.0000
0.0000 4.0834 0.0000
0.0000 0.0000 4.1641
B P Pd S
1 2 1 1
direct
0.0000 0.0000 0.0000
0.0000 0.5000 0.0000
0.5000 0.0000 0.0000
0.5000 0.5000 0.5000
0.0000 0.0000 0.5000
```

Calculated values
E above lowest polymorph = 0.0 meV per atom
ρ = 5.1 g/cm³
ΔE_f (raw) = 3.6 eV/f.u.



## BP2PdS (PBE)

Data for BP2PdS after structural relaxation.

Cell and atoms, written as POSCAR:
```
BP2PdS
1.0
4.5708 0.0000 0.0000
0.0000 4.5708 0.0000
0.0000 0.0000 5.0141
B P Pd S
1 2 1 1
direct
0.0000 0.0000 0.0000
0.0000 0.5000 0.5000
0.5000 0.0000 0.5000
0.5000 0.5000 0.5000
0.5000 0.5000 0.0000
```

Calculated values
E above lowest polymorph = 869.5 meV per atom
ρ = 3.3 g/cm³
ΔE_f (raw) = 8.0 eV/f.u.



- ρ of number 7 (B2PPd8)?
  10.0 g/cm³



- The highest ρ belongs to which entry?
  B2PPd8



Copy entry 6 word for word.
## BPPd6 (PBE)

Data for BPPd6 after structural relaxation.

Cell and atoms, written as POSCAR:
```
BPPd6
1.0
5.2955 0.0000 0.0000
-2.6477 4.5860 0.0000
0.0000 0.0000 9.7534
B P Pd
2 2 12
direct
0.0000 0.0000 0.0000
0.0000 0.0000 0.5000
0.3333 0.6667 0.2500
0.6667 0.3333 0.7500
0.0347 0.3453 0.6208
0.0347 0.6894 0.8792
0.3106 0.3453 0.8792
0.3106 0.9653 0.6208
0.3453 0.0347 0.1208
0.3453 0.3106 0.3792
0.6547 0.6894 0.6208
0.6547 0.9653 0.8792
0.6894 0.0347 0.3792
0.6894 0.6547 0.1208
0.9653 0.3106 0.1208
0.9653 0.6547 0.3792
```

Calculated values
total energy = -5.7275 eV/atom
ρ = 9.5 g/cm³